Compound: KRb2Au2
Source: the Alexandria database
Functional: PBEsol
Structure: relaxed

## Properties
E above lowest polymorph ... 0.018 eV/atom
DFT formation energy ... -0.039 eV/atom

The structure in extended XYZ format:
```
5
Lattice="-0.371 5.169 0.412 -4.366 -0.535 2.771 6.198 -2.520 4.402" Properties=species:S:1:pos:R:3 pbc="T T T"
Rb 1.729 2.483 3.203
Au 3.102 -0.165 4.856
Au -1.642 2.279 2.730
Rb -0.269 -0.369 4.382
K 0.000 0.000 0.000
```

***

Compound: TaCoNi2
Source: the Alexandria database
Functional: PBEsol
Structure: relaxed

## Properties
E above lowest polymorph ... 0.069 eV/atom
DFT formation energy ... -0.295 eV/atom

The structure in extended XYZ format:
```
4
Lattice="-2.581 1.234 -2.222 1.688 -1.535 -2.813 -1.443 -2.874 3.033" Properties=species:S:1:pos:R:3 pbc="T T T"
Ni 0.000 0.000 0.000
Ta -0.446 -0.151 -2.518
Co -0.101 -2.279 -1.149
Ni -2.235 -0.895 -0.853
```

***

Compound: AlHgW
Source: the Alexandria database
Functional: PBEsol
Structure: relaxed

## Properties
E above lowest polymorph ... 0.780 eV/atom
DFT formation energy ... 1.245 eV/atom

The structure in extended XYZ format:
```
3
Lattice="-4.030 -1.369 -1.120 -0.871 -4.307 -0.251 -2.594 -1.900 3.006" Properties=species:S:1:pos:R:3 pbc="T T T"
W 0.000 0.000 0.000
Al -3.747 -3.787 0.817
Hg -1.874 -1.894 0.409
```

***

Compound: AsRuPb2
Source: the Alexandria database
Functional: PBEsol
Structure: relaxed

## Properties
DFT formation energy ... 0.552 eV/atom

The structure in extended XYZ format:
```
4
Lattice="3.302 0.022 0.027 -0.028 5.052 -0.024 -0.028 -0.944 4.962" Properties=species:S:1:pos:R:3 pbc="T T T"
Ru 1.623 2.065 2.483
As 1.651 0.011 0.013
Pb -0.014 -0.472 2.481
Pb -0.014 2.526 -0.012
```

***

Compound: RbP2BrO
Source: the Alexandria database
Functional: PBEsol
Structure: relaxed

## Properties
Formation energy (no corrections) ... 803 meV per atom

The structure in extended XYZ format:
```
5
Lattice="-1.891 -3.215 2.244 4.050 -2.953 -0.820 2.128 1.732 4.274" Properties=species:S:1:pos:R:3 pbc="T T T"
P 1.064 0.866 2.137
Br 0.000 0.000 0.000
P 2.025 -1.477 -0.410
Rb 2.144 -2.218 2.849
O -0.945 -1.608 1.122
```

***

Compound: Rb2PdO
Source: the Alexandria database
Functional: PBEsol
Structure: relaxed

## Properties
Formation energy (no corrections) ... -553 meV per atom

The structure in extended XYZ format:
```
8
Lattice="-3.403 -1.836 0.856 2.412 -7.410 2.854 -1.423 2.056 7.913" Properties=species:S:1:pos:R:3 pbc="T T T"
Rb 0.244 -5.786 4.592
Pd -2.058 -4.054 6.026
O -0.356 -3.136 5.598
Pd 0.000 0.000 0.000
Rb -0.970 -2.172 2.936
Rb -1.808 -0.945 6.818
Rb -2.295 -5.477 8.903
O -1.702 -0.918 0.428
```

***

Compound: InW3S
Source: the Alexandria database
Functional: PBEsol
Structure: relaxed

## Properties
Formation energy (no corrections) ... 793 meV per atom

The structure in extended XYZ format:
```
5
Lattice="4.414 0.000 0.000 0.000 4.414 0.000 0.000 0.000 4.414" Properties=species:S:1:pos:R:3 pbc="T T T"
S 0.000 0.000 0.000
W 2.207 0.000 0.000
W 0.000 0.000 2.207
W 0.000 2.207 0.000
In 2.207 2.207 2.207
```

***

Compound: MgAsS2
Source: the Alexandria database
Functional: PBEsol
Structure: relaxed

## Properties
Formation energy (no corrections) ... -167 meV per atom
E above lowest polymorph ... 0.218 eV/atom

The structure in extended XYZ format:
```
4
Lattice="-0.448 -3.635 0.312 1.182 -2.233 -2.670 7.114 -2.503 2.712" Properties=species:S:1:pos:R:3 pbc="T T T"
Mg 0.000 0.000 0.000
S 2.919 -6.043 -1.245
S 4.929 -2.329 1.599
As 3.924 -4.186 0.177
```